(1)
Material: YPaAgAu
Method: DFT, PBE
State: relaxed

For the total energy, the calculation gives -22.7 eV/f.u. The formation energy from the elements is -0.160 eV/atom. For the total magnetization, the calculation gives 3.56 Bohr magnetons per cell.

It has space group F-43m (No. 216), with a = 7.2513 Å, b = 7.2513 Å, c = 7.2513 Å, α = 90.00°, β = 90.00° and γ = 90.00°. The distinct sites, in fractional coordinates, are Y at (0.0000, 0.0000, 0.0000), Pa at (0.0000, 0.0000, 0.5000), Ag at (0.2500, 0.2500, 0.7500) and Au at (0.2500, 0.2500, 0.2500).



(2)
Material: NpGaCo4
Method: DFT, PBE
State: relaxed

For the total energy, the calculation gives -45.2 eV/f.u. The formation energy from the elements is -0.131 eV/atom. For the total magnetization, the calculation gives 2.14 Bohr magnetons per cell.

It has space group F-43m (No. 216), with a = 6.8708 Å, b = 6.8708 Å, c = 6.8708 Å, α = 90.00°, β = 90.00° and γ = 90.00°. The distinct sites, in fractional coordinates, are Np at (0.0000, 0.0000, 0.0000), Ga at (0.2500, 0.2500, 0.7500) and Co at (0.1234, 0.1234, 0.3766).



(3)
Material: Pm12Si6F
Method: DFT, PBE
State: relaxed

For the total energy, the calculation gives -102.8 eV/f.u. Its raw formation energy is -598.3 meV per atom. For the total magnetization, the calculation gives 0.01 Bohr magnetons per cell.

It has space group R-3 (No. 148, hexagonal axes), with a = 12.7244 Å, b = 12.7244 Å, c = 11.7835 Å, α = 90.00°, β = 90.00° and γ = 120.00°. The distinct sites, in fractional coordinates, are Pm at (0.0341, 0.8282, 0.3891), Pm at (0.0472, 0.8496, 0.8797), Si at (0.0537, 0.6125, 0.3162) and F at (0.0000, 0.0000, 0.0000).



(4)
Material: AcPrZn2Ge2
Method: DFT, PBE
State: relaxed

For the total energy, the calculation gives -24.6 eV/f.u. The formation energy from the elements is -0.650 eV/atom. For the total magnetization, the calculation gives 0.00 Bohr magnetons per cell.

It has space group P-3m1 (No. 164), with a = 4.3100 Å, b = 4.3100 Å, c = 8.9139 Å, α = 90.00°, β = 90.00° and γ = 120.00°. The distinct sites, in fractional coordinates, are Ac at (0.0000, 0.0000, 0.0000), Pr at (0.0000, 0.0000, 0.5000), Zn at (0.3333, 0.6667, 0.7388) and Ge at (0.3333, 0.6667, 0.2636).